The following is a PBE calculation of a relaxed structure of LaPrDyMg, from Alexandria via LeMat-Bulk.

a b c (Å): 3.7572 3.7572 9.0868
angles (deg): 90.00 90.00 90.00
Element x y z (fractional)
Mg: 0.0000 0.0000 0.5807
Dy: 0.5000 0.5000 0.7921
Pr: 0.5000 0.5000 0.3488
La: 0.0000 0.0000 0.0632

Summary:
VASP energy = -16.03 eV/f.u.
formation enthalpy at 0 K = -30.9 meV/atom
energy above the lowest structure with this stoichiometry = 0.0000 eV/atom
symmetry = P4mm



The following is a PBE calculation of a relaxed structure of YAuSe2, from Alexandria via LeMat-Bulk.

a b c (Å): 5.9463 5.9463 7.9979
angles (deg): 68.18 68.18 90.00
Element x y z (fractional)
Se: 0.1116 0.6250 0.2500
Se: 0.3750 0.3616 0.7500
Se: 0.8750 0.8884 0.7500
Se: 0.6384 0.1250 0.2500
Y: 0.5000 0.5000 0.0000
Y: 0.2500 0.7500 0.5000
Au: 0.7500 0.2500 0.5000
Au: 0.0000 0.0000 0.0000

Summary:
VASP energy = -20.45 eV/f.u.
uncorrected formation energy = -0.934 eV/atom
symmetry = I-42d



The following is a PBE calculation of a relaxed structure of ErPa2SiC4, from Alexandria via LeMat-Bulk.

a b c (Å): 3.5292 6.0667 11.7860
angles (deg): 90.00 90.00 106.91
Element x y z (fractional)
Pa: 0.3699 0.7399 0.5508
Pa: 0.3699 0.7399 0.9492
Pa: 0.6301 0.2601 0.0508
Pa: 0.6301 0.2601 0.4492
Er: 0.8960 0.7920 0.2500
Er: 0.1040 0.2080 0.7500
Si: 0.1659 0.3317 0.2500
Si: 0.8341 0.6683 0.7500
C: 0.4243 0.8487 0.7500
C: 0.2680 0.5360 0.3732
C: 0.0000 0.0000 0.0000
C: 0.7320 0.4640 0.6268
C: 0.5757 0.1513 0.2500
C: 0.2680 0.5360 0.1268
C: 0.7320 0.4640 0.8732
C: 0.0000 0.0000 0.5000

Summary:
VASP energy = -67.81 eV/f.u.
uncorrected formation energy = -0.242 eV/atom
symmetry = Cmcm



The following is a PBE calculation of a relaxed structure of Sr2PuBi3Pt4, from Alexandria via LeMat-Bulk.

a b c (Å): 4.8161 4.8161 11.4495
angles (deg): 90.00 90.00 90.00
Last column: magnetic moment on the atom in μB.
Element x y z (fractional)
Bi: 0.5000 0.0000 0.8772  0.01
Bi: 0.0000 0.0000 0.5000  -0.07
Bi: 0.0000 0.5000 0.1228  0.01
Sr: 0.5000 0.0000 0.2204  0.01
Sr: 0.0000 0.5000 0.7796  0.01
Pt: 0.0000 0.0000 0.0000  0.01
Pt: 0.0000 0.5000 0.3617  -0.05
Pt: 0.5000 0.0000 0.6383  -0.05
Pt: 0.5000 0.5000 0.0000  0.01
Pu: 0.5000 0.5000 0.5000  5.27

Summary:
VASP energy = -59.38 eV/f.u.
formation enthalpy at 0 K = -588.2 meV/atom
symmetry = P-4m2



The following is a PBE calculation of a relaxed structure of La12Pm5Y, from Alexandria via LeMat-Bulk.

a b c (Å): 11.0631 11.1182 6.4203
angles (deg): 72.98 89.99 60.17
Element x y z (fractional)
La: 0.3301 0.0000 0.0001
La: 0.6699 0.0000 0.9999
La: 0.5032 0.3331 0.5002
La: 0.6637 0.3336 0.0000
La: 0.1686 0.0001 0.4998
La: 0.8314 0.9999 0.5002
La: 0.9975 0.6662 0.0004
La: 0.3363 0.6664 0.0000
La: 0.8362 0.6671 0.4998
La: 0.1638 0.3329 0.5002
La: 0.4968 0.6669 0.4998
La: 0.0025 0.3338 0.9996
Pm: 0.5000 0.0000 0.5000
Pm: 0.6666 0.6668 0.0005
Pm: 0.1665 0.6669 0.4996
Pm: 0.3334 0.3332 0.9995
Pm: 0.8335 0.3331 0.5004
Y: 0.0000 0.0000 0.0000

Summary:
VASP energy = -89.04 eV/f.u.
formation enthalpy at 0 K = 17.1 meV/atom
symmetry = C2/m



The following is a PBE calculation of a relaxed structure of AcZn2Hg, from Alexandria via LeMat-Bulk.

a b c (Å): 3.7492 3.7492 7.0590
angles (deg): 90.00 90.00 90.00
Element x y z (fractional)
Zn: 0.0000 0.0000 0.2017
Zn: 0.0000 0.0000 0.7983
Ac: 0.5000 0.5000 0.5000
Hg: 0.5000 0.5000 0.0000

Summary:
VASP energy = -7.36 eV/f.u.
formation enthalpy at 0 K = -101.6 meV/atom
energy above the lowest structure with this stoichiometry = 0.2302 eV/atom
symmetry = P4/mmm



The following is a PBE calculation of a relaxed structure of Pa2Zn5Cu12, from Alexandria via LeMat-Bulk.

a b c (Å): 6.5474 6.5474 6.5474
angles (deg): 82.84 82.84 82.84
Last column: magnetic moment on the atom in μB.
Element x y z (fractional)
Pa: 0.3533 0.3533 0.3533  0.34
Pa: 0.6467 0.6467 0.6467  0.34
Cu: 0.3493 0.3493 0.8419  0.01
Cu: 0.3035 0.0000 0.6965  0.00
Cu: 0.3035 0.6965 0.0000  0.00
Cu: 0.3493 0.8419 0.3493  0.01
Cu: 0.6507 0.6507 0.1581  0.01
Cu: 0.6507 0.1581 0.6507  0.01
Cu: 0.6965 0.3035 0.0000  0.00
Cu: 0.1581 0.6507 0.6507  0.01
Cu: 0.0000 0.6965 0.3035  0.00
Cu: 0.0000 0.3035 0.6965  0.00
Cu: 0.8419 0.3493 0.3493  0.01
Cu: 0.6965 0.0000 0.3035  0.00
Zn: 0.5000 0.0000 0.0000  0.00
Zn: 0.0000 0.5000 0.0000  0.00
Zn: 0.1012 0.1012 0.1012  0.00
Zn: 0.8988 0.8988 0.8988  0.00
Zn: 0.0000 0.0000 0.5000  0.00

Summary:
VASP energy = -75.30 eV/f.u.
formation enthalpy at 0 K = -41.4 meV/atom
symmetry = R-3m



The following is a PBE calculation of a relaxed structure of CoPd2Rh, from Alexandria via LeMat-Bulk.

a b c (Å): 3.8899 3.8167 3.8167
angles (deg): 90.00 90.00 90.00
Last column: magnetic moment on the atom in μB.
Element x y z (fractional)
Rh: 0.5000 0.5000 0.5000  0.74
Pd: 0.0000 0.0000 0.5000  0.31
Pd: 0.0000 0.5000 0.0000  0.31
Co: 0.5000 0.0000 0.0000  1.98

Summary:
VASP energy = -24.43 eV/f.u.
formation enthalpy at 0 K = 103.1 meV/atom
energy above the lowest structure with this stoichiometry = 0.0022 eV/atom
symmetry = P4/mmm



The following is a PBE calculation of a relaxed structure of Tl2Hg2Pt, from Alexandria via LeMat-Bulk.

a b c (Å): 7.2968 7.2968 5.5789
angles (deg): 90.00 90.00 90.00
Element x y z (fractional)
Tl: 0.1742 0.3258 0.0000
Tl: 0.3258 0.8258 0.0000
Tl: 0.6742 0.1742 0.0000
Tl: 0.8258 0.6742 0.0000
Pt: 0.0000 0.0000 0.0000
Pt: 0.5000 0.5000 0.0000
Hg: 0.8401 0.3401 0.5000
Hg: 0.6599 0.8401 0.5000
Hg: 0.1599 0.6599 0.5000
Hg: 0.3401 0.1599 0.5000

Summary:
VASP energy = -10.75 eV/f.u.
formation enthalpy at 0 K = 125.0 meV/atom
energy above the lowest structure with this stoichiometry = 0.1867 eV/atom
symmetry = P4/mbm



The following is a PBE calculation of a relaxed structure of GaAg6F8, from Alexandria via LeMat-Bulk.

a b c (Å): 7.1217 7.1217 7.1217
angles (deg): 60.00 60.00 60.00
Element x y z (fractional)
F: 0.1932 0.8068 0.1932
F: 0.1932 0.1932 0.8068
F: 0.8068 0.1932 0.1932
F: 0.8068 0.8068 0.1932
F: 0.7500 0.7500 0.7500
F: 0.2500 0.2500 0.2500
F: 0.1932 0.8068 0.8068
F: 0.8068 0.1932 0.8068
Ag: 0.0000 0.0000 0.5000
Ag: 0.0000 0.5000 0.5000
Ag: 0.5000 0.5000 0.0000
Ag: 0.5000 0.0000 0.5000
Ag: 0.0000 0.5000 0.0000
Ag: 0.5000 0.0000 0.0000
Ga: 0.0000 0.0000 0.0000

Summary:
VASP energy = -54.44 eV/f.u.
uncorrected formation energy = -1.289 eV/atom
symmetry = Fm-3m



The following is a PBE calculation of a relaxed structure of K2ReBr2Cl4, from Alexandria via LeMat-Bulk.

a b c (Å): 7.3660 7.2385 7.2385
angles (deg): 59.66 60.74 60.74
Last column: magnetic moment on the atom in μB.
Element x y z (fractional)
K: 0.2762 0.7468 0.7468  0.00
K: 0.7238 0.2532 0.2532  0.00
Cl: 0.6917 0.2666 0.8007  0.05
Cl: 0.3083 0.1993 0.7334  0.05
Cl: 0.3083 0.7334 0.1993  0.05
Cl: 0.6917 0.8007 0.2666  0.05
Re: 0.5000 0.0000 0.0000  2.25
Br: 0.1987 0.2398 0.2398  0.04
Br: 0.8013 0.7602 0.7602  0.04

Summary:
VASP energy = -35.95 eV/f.u.
uncorrected formation energy = -1.175 eV/atom
symmetry = C2/m



The following is a PBE calculation of a relaxed structure of Ge2Te8Mo, from Alexandria via LeMat-Bulk.

a b c (Å): 6.2002 8.1425 8.1425
angles (deg): 86.15 77.97 77.97
Element x y z (fractional)
Mo: 0.0000 0.0000 0.0000
Te: 0.7404 0.7559 0.0976
Te: 0.2338 0.4530 0.4530
Te: 0.2596 0.2441 0.9024
Te: 0.2596 0.9024 0.2441
Te: 0.2291 0.7742 0.7742
Te: 0.7662 0.5470 0.5470
Te: 0.7404 0.0976 0.7559
Te: 0.7709 0.2258 0.2258
Ge: 0.3454 0.2191 0.2191
Ge: 0.6546 0.7809 0.7809

Summary:
VASP energy = -44.62 eV/f.u.
uncorrected formation energy = 0.052 eV/atom
symmetry = C2/m



The following is a PBE calculation of a relaxed structure of ScGa2FeNi, from Alexandria via LeMat-Bulk.

a b c (Å): 5.0579 4.2959 5.0579
angles (deg): 90.00 90.00 90.00
Last column: magnetic moment on the atom in μB.
Element x y z (fractional)
Sc: 0.0000 0.0000 0.0000  -0.41
Ga: 0.0000 0.0000 0.5000  -0.04
Ga: 0.5000 0.0000 0.0000  -0.04
Fe: 0.0000 0.5000 0.0000  2.10
Ni: 0.5000 0.5000 0.5000  0.48

Summary:
VASP energy = -20.44 eV/f.u.
formation enthalpy at 0 K = 1237.4 meV/atom
symmetry = P4/mmm



The following is a PBE calculation of a relaxed structure of TbDy4Y, from Alexandria via LeMat-Bulk.

a b c (Å): 6.5601 6.5601 6.5601
angles (deg): 60.00 60.00 60.00
Last column: magnetic moment on the atom in μB.
Element x y z (fractional)
Dy: 0.6251 0.6251 0.1248  0.02
Dy: 0.1248 0.6251 0.6251  0.02
Dy: 0.6251 0.1248 0.6251  0.02
Dy: 0.6251 0.6251 0.6251  0.02
Y: 0.0000 0.0000 0.0000  0.10
Tb: 0.2500 0.2500 0.2500  0.13

Summary:
VASP energy = -27.99 eV/f.u.
formation enthalpy at 0 K = 252.3 meV/atom
energy above the lowest structure with this stoichiometry = 0.2333 eV/atom
symmetry = F-43m



The following is a PBE calculation of a relaxed structure of LaFeIr2, from Alexandria via LeMat-Bulk.

a b c (Å): 4.6550 4.6550 4.6550
angles (deg): 60.00 60.00 60.00
Last column: magnetic moment on the atom in μB.
Element x y z (fractional)
Ir: 0.2500 0.2500 0.2500  -0.09
Ir: 0.7500 0.7500 0.7500  -0.09
Fe: 0.0000 0.0000 0.0000  0.27
La: 0.5000 0.5000 0.5000  -0.03

Summary:
VASP energy = -29.31 eV/f.u.
formation enthalpy at 0 K = 450.7 meV/atom
symmetry = Fm-3m



The following is a PBE calculation of a relaxed structure of Y2Pd7Au3, from Alexandria via LeMat-Bulk.

a b c (Å): 4.5399 5.1702 13.2456
angles (deg): 127.71 109.83 66.72
Element x y z (fractional)
Au: 0.5000 0.5000 0.0000
Au: 0.5569 0.6873 0.3868
Au: 0.4431 0.3127 0.6132
Pd: 0.9207 0.6425 0.2321
Pd: 0.5330 0.2079 0.1321
Pd: 0.1695 0.7517 0.5305
Pd: 0.4670 0.7921 0.8679
Pd: 0.0000 0.0000 0.0000
Pd: 0.8305 0.2483 0.4695
Pd: 0.0793 0.3575 0.7679
Y: 0.7808 0.9126 0.7354
Y: 0.2192 0.0874 0.2646

Summary:
VASP energy = -64.96 eV/f.u.
formation enthalpy at 0 K = -487.9 meV/atom
symmetry = P-1



The following is a PBE calculation of a relaxed structure of AcGdMg, from Alexandria via LeMat-Bulk.

a b c (Å): 3.9323 3.9323 7.1264
angles (deg): 106.02 106.02 90.00
Last column: magnetic moment on the atom in μB.
Element x y z (fractional)
Ac: 0.6099 0.6099 0.2198  0.03
Gd: 0.3015 0.3015 0.6031  7.24
Mg: 0.9385 0.9385 0.8771  -0.01

Summary:
VASP energy = -19.90 eV/f.u.
formation enthalpy at 0 K = -39.0 meV/atom
energy above the lowest structure with this stoichiometry = 0.0000 eV/atom
symmetry = I4mm



The following is a PBE calculation of a relaxed structure of NaSn2F, from Alexandria via LeMat-Bulk.

a b c (Å): 5.0129 5.0129 5.0129
angles (deg): 60.00 60.00 60.00
Element x y z (fractional)
Na: 0.5000 0.5000 0.5000
Sn: 0.2500 0.2500 0.2500
Sn: 0.7500 0.7500 0.7500
F: 0.0000 0.0000 0.0000

Summary:
VASP energy = -12.77 eV/f.u.
uncorrected formation energy = -0.393 eV/atom
energy above the lowest structure with this stoichiometry = 0.3742 eV/atom
symmetry = Fm-3m



The following is a PBE calculation of a relaxed structure of Np2MnSe4, from Alexandria via LeMat-Bulk.

a b c (Å): 4.2513 7.1720 11.1094
angles (deg): 90.00 90.00 90.00
Last column: magnetic moment on the atom in μB.
Element x y z (fractional)
Se: 0.5000 0.7476 0.0544  0.13
Se: 0.0000 0.1181 0.7152  0.10
Se: 0.0000 0.6181 0.7848  0.10
Se: 0.5000 0.7524 0.5544  0.13
Se: 0.5000 0.2476 0.4456  0.13
Se: 0.0000 0.3819 0.2152  0.10
Se: 0.5000 0.2524 0.9456  0.13
Se: 0.0000 0.8819 0.2848  0.10
Mn: 0.0000 0.0000 0.5000  4.13
Mn: 0.0000 0.5000 0.0000  4.13
Np: 0.5000 0.6085 0.3142  -3.82
Np: 0.5000 0.8916 0.8142  -3.82
Np: 0.5000 0.1084 0.1858  -3.82
Np: 0.5000 0.3916 0.6858  -3.82

Summary:
VASP energy = -55.28 eV/f.u.
uncorrected formation energy = -0.899 eV/atom
symmetry = Pbam



The following is a PBE calculation of a relaxed structure of GaP2S2, from Alexandria via LeMat-Bulk.

a b c (Å): 4.7740 4.7740 4.4776
angles (deg): 90.00 90.00 90.00
Element x y z (fractional)
S: 0.5000 0.5000 0.5000
S: 0.0000 0.0000 0.5000
P: 0.0000 0.5000 0.0000
P: 0.5000 0.0000 0.0000
Ga: 0.0000 0.0000 0.0000

Summary:
VASP energy = -16.73 eV/f.u.
uncorrected formation energy = 1.075 eV/atom
energy above the lowest structure with this stoichiometry = 0.9607 eV/atom
symmetry = P4/mmm



The following is a PBE calculation of a relaxed structure of La6Pr2Nd3, from Alexandria via LeMat-Bulk.

a b c (Å): 6.4618 8.2853 15.3218
angles (deg): 49.37 60.29 96.96
Element x y z (fractional)
La: 0.0926 0.6380 0.7266
La: 0.2723 0.9081 0.1814
La: 0.8184 0.7259 0.5454
La: 0.9074 0.3620 0.2734
La: 0.1816 0.2741 0.4546
La: 0.7277 0.0919 0.8186
Pr: 0.6360 0.4559 0.0909
Pr: 0.3640 0.5441 0.9091
Nd: 0.0000 0.0000 0.0000
Nd: 0.5457 0.8186 0.3631
Nd: 0.4543 0.1814 0.6369

Summary:
VASP energy = -53.27 eV/f.u.
formation enthalpy at 0 K = 13.9 meV/atom
energy above the lowest structure with this stoichiometry = 0.0000 eV/atom
symmetry = P-1



The following is a PBE calculation of a relaxed structure of AgGe2Se4, from Alexandria via LeMat-Bulk.

a b c (Å): 6.3526 6.3526 6.3526
angles (deg): 104.50 104.50 119.95
Element x y z (fractional)
Se: 0.3350 0.1821 0.5171
Se: 0.1821 0.6650 0.8471
Se: 0.6650 0.8179 0.4829
Se: 0.8179 0.3350 0.1529
Ge: 0.2500 0.7500 0.5000
Ge: 0.7500 0.2500 0.5000
Ag: 0.5000 0.5000 0.0000

Summary:
VASP energy = -27.02 eV/f.u.
uncorrected formation energy = -0.142 eV/atom
energy above the lowest structure with this stoichiometry = 0.0173 eV/atom
symmetry = I4/m



The following is a PBE calculation of a relaxed structure of CsCd4Ga, from Alexandria via LeMat-Bulk.

a b c (Å): 5.7869 7.7012 9.8598
angles (deg): 112.99 103.73 90.00
Element x y z (fractional)
Ga: 0.2635 0.4361 0.8722
Ga: 0.7365 0.5639 0.1278
Cd: 0.4585 0.7254 0.8192
Cd: 0.0000 0.1919 0.0000
Cd: 0.5415 0.2746 0.1808
Cd: 0.5415 0.9062 0.1808
Cd: 0.0000 0.8081 0.0000
Cd: 0.2446 0.6025 0.2049
Cd: 0.4585 0.0938 0.8192
Cd: 0.7554 0.3975 0.7951
Cs: 0.8458 0.7808 0.5616
Cs: 0.1542 0.2192 0.4384

Summary:
VASP energy = -7.60 eV/f.u.
formation enthalpy at 0 K = -9.7 meV/atom
energy above the lowest structure with this stoichiometry = 0.0000 eV/atom
symmetry = C2/m